Record 1
# PBE CaTbIr, relaxed
# Magnetization ... 0.0 μB/f.u.
# Mass density ... 7769 kg/m³
# ΔE_f ... -0.55 eV per atom
# Fermi-level density of states ... 0.8 states/eV/f.u.
# E_tot ... -17.1 eV/f.u.
data_CaTbIr
_chemical_formula_sum 'Ca2 Tb2 Ir2'
_space_group_name_H-M_alt 'P 1'
_space_group_IT_number 1
_cell_length_a 5.333
_cell_length_b 4.469
_cell_length_c 7.291
_cell_angle_alpha 90.00
_cell_angle_beta 105.75
_cell_angle_gamma 90.00
loop_
_space_group_symop_operation_xyz
'x,y,z'
loop_
_atom_site_label
_atom_site_fract_x
_atom_site_fract_y
_atom_site_fract_z
Ca1 0.242 0.250 0.437
Ca2 0.758 0.750 0.563
Tb1 0.235 0.250 0.952
Tb2 0.765 0.750 0.048
Ir1 0.315 0.750 0.202
Ir2 0.685 0.250 0.798

***

Record 2
# PBE CeMg5Hg6, relaxed
# Magnetization ... 1.0 μB/f.u.
# Mass density ... 8912 kg/m³
# ΔE_f ... -0.25 eV per atom
# Fermi-level density of states ... 10.3 states/eV/f.u.
# E_tot ... -18.7 eV/f.u.
data_CeMg5Hg6
_chemical_formula_sum 'Ce1 Mg5 Hg6'
_space_group_name_H-M_alt 'P 1'
_space_group_IT_number 1
_cell_length_a 4.935
_cell_length_b 7.451
_cell_length_c 7.818
_cell_angle_alpha 90.00
_cell_angle_beta 108.27
_cell_angle_gamma 90.00
loop_
_space_group_symop_operation_xyz
'x,y,z'
loop_
_atom_site_label
_atom_site_fract_x
_atom_site_fract_y
_atom_site_fract_z
Ce1 0.000 0.000 0.000
Mg1 0.000 0.500 0.000
Mg2 0.330 0.000 0.660
Mg3 0.336 0.500 0.668
Mg4 0.664 0.500 0.332
Mg5 0.670 0.000 0.340
Hg1 0.170 0.256 0.344
Hg2 0.170 0.744 0.344
Hg3 0.500 0.269 0.000
Hg4 0.500 0.731 0.000
Hg5 0.830 0.256 0.656
Hg6 0.830 0.744 0.656

***

Record 3
# PBE Ni4W, relaxed
# Magnetization ... 0.0 μB/f.u.
# Mass density ... 11223 kg/m³
# ΔE_f ... 0.34 eV per atom
# Fermi-level density of states ... 4.6 states/eV/f.u.
# E_tot ... -34.4 eV/f.u.
data_Ni4W
_chemical_formula_sum 'Ni4 W1'
_space_group_name_H-M_alt 'P 1'
_space_group_IT_number 1
_cell_length_a 6.098
_cell_length_b 6.098
_cell_length_c 6.098
_cell_angle_alpha 148.43
_cell_angle_beta 148.43
_cell_angle_gamma 45.24
loop_
_space_group_symop_operation_xyz
'x,y,z'
loop_
_atom_site_label
_atom_site_fract_x
_atom_site_fract_y
_atom_site_fract_z
Ni1 0.101 0.101 0.000
Ni2 0.250 0.750 0.500
Ni3 0.750 0.250 0.500
Ni4 0.899 0.899 0.000
W1 0.500 0.500 0.000

***

Record 4
# PBE ScNiAs2Br, relaxed
# Magnetization ... 0.0 μB/f.u.
# Mass density ... 5260 kg/m³
# Fermi-level density of states ... 2.9 states/eV/f.u.
# E_tot ... -23.2 eV/f.u.
# Energy relative to the elements, uncorrected ... -0.660 kcal/mol of atoms
data_ScNiAs2Br
_chemical_formula_sum 'Sc1 Ni1 As2 Br1'
_space_group_name_H-M_alt 'P 1'
_space_group_IT_number 1
_cell_length_a 4.601
_cell_length_b 4.601
_cell_length_c 4.971
_cell_angle_alpha 90.00
_cell_angle_beta 90.00
_cell_angle_gamma 90.00
loop_
_space_group_symop_operation_xyz
'x,y,z'
loop_
_atom_site_label
_atom_site_fract_x
_atom_site_fract_y
_atom_site_fract_z
Sc1 0.000 0.000 0.000
Ni1 0.500 0.500 0.500
As1 0.000 0.500 0.500
As2 0.500 0.000 0.500
Br1 0.500 0.500 0.000

***

Record 5
# PBE HfScO2, relaxed
# Magnetization ... 0.0 μB/f.u.
# Mass density ... 7417 kg/m³
# Fermi-level density of states ... 2.9 states/eV/f.u.
# E_tot ... -37.1 eV/f.u.
# Energy relative to the elements, uncorrected ... -63.035 kcal/mol of atoms
data_HfScO2
_chemical_formula_sum 'Hf1 Sc1 O2'
_space_group_name_H-M_alt 'P 1'
_space_group_IT_number 1
_cell_length_a 6.344
_cell_length_b 6.344
_cell_length_c 6.344
_cell_angle_alpha 30.18
_cell_angle_beta 30.18
_cell_angle_gamma 30.18
loop_
_space_group_symop_operation_xyz
'x,y,z'
loop_
_atom_site_label
_atom_site_fract_x
_atom_site_fract_y
_atom_site_fract_z
Hf1 0.000 0.000 0.000
Sc1 0.500 0.500 0.500
O1 0.112 0.112 0.112
O2 0.888 0.888 0.888

***

Record 6
# PBE La8Tb6Dy, relaxed
# Magnetization ... 0.0 μB/f.u.
# Mass density ... 7082 kg/m³
# ΔE_f ... 0.16 eV per atom
# Fermi-level density of states ... 25.4 states/eV/f.u.
# E_tot ... -69.4 eV/f.u.
data_La8Tb6Dy
_chemical_formula_sum 'La8 Tb6 Dy1'
_space_group_name_H-M_alt 'P 1'
_space_group_IT_number 1
_cell_length_a 9.481
_cell_length_b 9.481
_cell_length_c 6.709
_cell_angle_alpha 90.00
_cell_angle_beta 90.00
_cell_angle_gamma 120.00
loop_
_space_group_symop_operation_xyz
'x,y,z'
loop_
_atom_site_label
_atom_site_fract_x
_atom_site_fract_y
_atom_site_fract_z
La1 0.042 0.292 0.333
La2 0.250 0.958 0.333
La3 0.292 0.250 0.667
La4 0.333 0.667 0.381
La5 0.667 0.333 0.619
La6 0.708 0.750 0.333
La7 0.750 0.042 0.667
La8 0.958 0.708 0.667
Tb1 0.096 0.435 0.849
Tb2 0.339 0.904 0.849
Tb3 0.435 0.339 0.151
Tb4 0.565 0.661 0.849
Tb5 0.661 0.096 0.151
Tb6 0.904 0.565 0.151
Dy1 0.000 0.000 0.000

***

Record 7
# PBE VCo5Si2Tc2, relaxed
# Magnetization ... 0.0 μB/f.u.
# Mass density ... 8353 kg/m³
# Fermi-level density of states ... 10.4 states/eV/f.u.
# E_tot ... -78.4 eV/f.u.
# Energy relative to the elements, uncorrected ... -5.016 kcal/mol of atoms
data_VCo5Si2Tc2
_chemical_formula_sum 'V2 Co10 Si4 Tc4'
_space_group_name_H-M_alt 'P 1'
_space_group_IT_number 1
_cell_length_a 8.186
_cell_length_b 8.186
_cell_length_c 3.547
_cell_angle_alpha 90.00
_cell_angle_beta 90.00
_cell_angle_gamma 90.00
loop_
_space_group_symop_operation_xyz
'x,y,z'
loop_
_atom_site_label
_atom_site_fract_x
_atom_site_fract_y
_atom_site_fract_z
V1 0.000 0.000 0.000
V2 0.500 0.500 0.000
Co1 0.000 0.500 0.500
Co2 0.063 0.202 0.500
Co3 0.202 0.937 0.500
Co4 0.298 0.437 0.500
Co5 0.437 0.702 0.500
Co6 0.500 0.000 0.500
Co7 0.563 0.298 0.500
Co8 0.702 0.563 0.500
Co9 0.798 0.063 0.500
Co10 0.937 0.798 0.500
Si1 0.121 0.379 0.000
Si2 0.379 0.879 0.000
Si3 0.621 0.121 0.000
Si4 0.879 0.621 0.000
Tc1 0.176 0.676 0.000
Tc2 0.324 0.176 0.000
Tc3 0.676 0.824 0.000
Tc4 0.824 0.324 0.000

***

Record 8
# PBE RbTlCu2I6, relaxed
# Magnetization ... 0.0 μB/f.u.
# Mass density ... 4192 kg/m³
# Fermi-level density of states ... 2.2 states/eV/f.u.
# E_tot ... -25.4 eV/f.u.
# Energy relative to the elements, uncorrected ... -10.431 kcal/mol of atoms
data_RbTlCu2I6
_chemical_formula_sum 'Rb2 Tl2 Cu4 I12'
_space_group_name_H-M_alt 'P 1'
_space_group_IT_number 1
_cell_length_a 9.400
_cell_length_b 9.400
_cell_length_c 11.357
_cell_angle_alpha 101.74
_cell_angle_beta 101.74
_cell_angle_gamma 100.94
loop_
_space_group_symop_operation_xyz
'x,y,z'
loop_
_atom_site_label
_atom_site_fract_x
_atom_site_fract_y
_atom_site_fract_z
Rb1 0.093 0.907 0.750
Rb2 0.907 0.093 0.250
Tl1 0.493 0.507 0.750
Tl2 0.507 0.493 0.250
Cu1 0.063 0.356 0.646
Cu2 0.356 0.063 0.146
Cu3 0.644 0.937 0.854
Cu4 0.937 0.644 0.354
I1 0.170 0.558 0.848
I2 0.187 0.212 0.065
I3 0.190 0.599 0.402
I4 0.212 0.187 0.565
I5 0.401 0.810 0.098
I6 0.442 0.830 0.652
I7 0.558 0.170 0.348
I8 0.599 0.190 0.902
I9 0.788 0.813 0.435
I10 0.810 0.401 0.598
I11 0.813 0.788 0.935
I12 0.830 0.442 0.152